Entry 1:
Sm2ScUP4 | PBE-GGA | relaxed

Results
Calculated formation energy in eV/atom: -1.387
Fermi-level density of states in states/eV per cell: 6.51

Cell lengths 6.850, 3.969, 6.906 Å; angles 90.00, 109.19, 90.00 degrees
Element x y z (fractional)
Sm: 0.000 0.000 0.000
Sm: 0.500 0.500 0.000
Sc: 0.000 0.500 0.500
U: 0.500 0.000 0.500
P: 0.242 0.000 0.729
P: 0.252 0.500 0.267
P: 0.748 0.500 0.733
P: 0.758 0.000 0.271

***

Entry 2:
Pr3SmHo6Th2 | PBE-GGA | relaxed

Results
Calculated formation energy in eV/atom: 0.022
Fermi-level density of states in states/eV per cell: 15.69

Cell lengths 6.235, 6.235, 11.782 Å; angles 95.08, 95.08, 119.98 degrees
Element x y z (fractional)
Pr: 0.000 0.000 0.000
Pr: 0.334 0.666 0.000
Pr: 0.666 0.334 0.000
Sm: 0.500 0.500 0.500
Ho: 0.080 0.418 0.256
Ho: 0.244 0.244 0.745
Ho: 0.418 0.080 0.256
Ho: 0.582 0.920 0.744
Ho: 0.756 0.756 0.255
Ho: 0.920 0.582 0.744
Th: 0.167 0.833 0.500
Th: 0.833 0.167 0.500

***

Entry 3:
CdAsW2 | PBE-GGA | relaxed

Results
Calculated formation energy in eV/atom: 0.593
Fermi-level density of states in states/eV per cell: 2.71

Cell lengths 5.393, 5.393, 5.393 Å; angles 146.00, 127.61, 63.94 degrees
Element x y z (fractional)
Cd: 0.000 0.000 0.000
As: 0.500 0.500 0.000
W: 0.279 0.779 0.500
W: 0.721 0.221 0.500

***

Repeat the first record exactly.
Sm2ScUP4 | PBE-GGA | relaxed

Results
Calculated formation energy in eV/atom: -1.387
Fermi-level density of states in states/eV per cell: 6.51

Cell lengths 6.850, 3.969, 6.906 Å; angles 90.00, 109.19, 90.00 degrees
Element x y z (fractional)
Sm: 0.000 0.000 0.000
Sm: 0.500 0.500 0.000
Sc: 0.000 0.500 0.500
U: 0.500 0.000 0.500
P: 0.242 0.000 0.729
P: 0.252 0.500 0.267
P: 0.748 0.500 0.733
P: 0.758 0.000 0.271